Computed, not measured: Ho3Tm at its PBEsol-relaxed geometry at the meta-GGA SCAN level of DFT.

Cell lengths 7.0237, 7.0237, 5.4711 Å; angles 90.00, 90.00, 120.00 degrees
With the nearest neighbours (Å) after each atom.
Fractional coordinates of all 8 atoms:
Ho  0.1668  0.3337  0.2500  4 Tm 3.40-3.51, 8 Ho 3.41-3.52
Ho  0.1668  0.8332  0.2500  4 Tm 3.40-3.51, 8 Ho 3.41-3.52
Ho  0.3337  0.1668  0.7500  4 Tm 3.40-3.51, 8 Ho 3.41-3.52
Ho  0.6663  0.8332  0.2500  4 Tm 3.40-3.51, 8 Ho 3.41-3.52
Ho  0.8332  0.1668  0.7500  4 Tm 3.40-3.51, 8 Ho 3.41-3.52
Ho  0.8332  0.6663  0.7500  4 Tm 3.40-3.51, 8 Ho 3.41-3.52
Tm  0.3333  0.6667  0.7500  12 Ho 3.40-3.51
Tm  0.6667  0.3333  0.2500  12 Ho 3.40-3.51

- Energy of formation: 5 meV per atom
- N(E_F): 1.577 states/eV/atom
- Crystal system: hexagonal

***

Computed, not measured: HoTm3 at its PBEsol-relaxed geometry at the meta-GGA SCAN level of DFT.

Cell lengths 7.0001, 7.0001, 5.4364 Å; angles 90.00, 90.00, 120.00 degrees
With the nearest neighbours (Å) after each atom.
Fractional coordinates of all 8 atoms:
Ho  0.3333  0.6667  0.2500  12 Tm 3.39-3.50
Ho  0.6667  0.3333  0.7500  12 Tm 3.39-3.50
Tm  0.1664  0.3328  0.7500  8 Tm 3.39-3.51, 4 Ho 3.39-3.50
Tm  0.1664  0.8336  0.7500  8 Tm 3.39-3.51, 4 Ho 3.39-3.50
Tm  0.3328  0.1664  0.2500  8 Tm 3.39-3.51, 4 Ho 3.39-3.50
Tm  0.6672  0.8336  0.7500  8 Tm 3.39-3.51, 4 Ho 3.39-3.50
Tm  0.8336  0.1664  0.2500  8 Tm 3.39-3.51, 4 Ho 3.39-3.50
Tm  0.8336  0.6672  0.2500  8 Tm 3.39-3.51, 4 Ho 3.39-3.50

- Energy of formation: 2 meV per atom
- N(E_F): 1.538 states/eV/atom
- Crystal system: hexagonal

***

Computed, not measured: YHo at its PBEsol-relaxed geometry at the meta-GGA SCAN level of DFT.

Cell lengths 3.5542, 3.5542, 5.5400 Å; angles 90.00, 90.00, 120.00 degrees
With the nearest neighbours (Å) after each atom.
Fractional coordinates of all 2 atoms:
Y  0.0000  0.0000  0.0000  6 Ho 3.45, 6 Y 3.55
Ho  0.6667  0.3333  0.5000  6 Y 3.45, 6 Ho 3.55

- Energy of formation: 12 meV per atom
- N(E_F): 1.678 states/eV/atom
- Crystal system: hexagonal

***

Which value of energy of formation does entry 2 give? 2 meV per atom

***

The highest energy of formation belongs to which entry? YHo

***

What is the N(E_F) in the second record? 1.538 states/eV/atom